The following is a DFT calculation (PBE) of a relaxed structure of ZrCo3Se.

Calculated values
energy above the most stable polymorph in this dataset: 0 meV/atom
DFT total energy: -31.6 eV per cell
volume: 15.87 Å³ per atom
uncorrected formation energy: 0.340 eV per atom

```
ZrCo3Se
1.0
4.297 0.000 0.000
0.000 4.297 0.000
0.000 0.000 4.297
Co Se Zr
3 1 1
direct
0.000 0.500 0.000
0.000 0.000 0.500
0.500 0.000 0.000
0.000 0.000 0.000
0.500 0.500 0.500
```